Computed, not measured: an optimized crystal structure of Ce3PmSb3 at the PBE level of DFT.

## Properties
* ΔE_f (raw): -4.59 eV per formula unit
* DFT total energy: -79.0 eV/cell
* space-group type: P6_3/m, No. 176
* crystal system: hexagonal
* DOS at the Fermi energy: 36.17 states/eV per cell

a b c (Å): 5.7384 9.1665 9.1665
angles (deg): 120.00 90.00 90.00
Last column: nearest neighbours and their distance in Å.
Atoms (fractional coordinates):
Ce1 0.2500 0.7688 0.7551  5 Sb 3.09-3.45
Sb1 0.2500 0.3755 0.4380  5 Ce 3.09-3.45, 1 Pm 3.26
Sb2 0.2500 0.5620 0.9375  5 Ce 3.09-3.45, 1 Pm 3.26
Pm1 0.7500 0.3333 0.6667  3 Sb 3.26, 3 Ce 3.49
Pm2 0.2500 0.6667 0.3333  3 Sb 3.26, 3 Ce 3.49
Sb3 0.7500 0.9375 0.3755  5 Ce 3.09-3.45, 1 Pm 3.26
Sb4 0.7500 0.4380 0.0625  5 Ce 3.09-3.45, 1 Pm 3.26
Ce2 0.2500 0.2449 0.0138  5 Sb 3.09-3.45
Ce3 0.7500 0.7551 0.9862  5 Sb 3.09-3.45
Ce4 0.7500 0.2312 0.2449  5 Sb 3.09-3.45
Sb5 0.2500 0.0625 0.6245  5 Ce 3.09-3.45, 1 Pm 3.26
Ce5 0.2500 0.9862 0.2312  5 Sb 3.09-3.45
Sb6 0.7500 0.6245 0.5620  5 Ce 3.09-3.45, 1 Pm 3.26
Ce6 0.7500 0.0138 0.7688  5 Sb 3.09-3.45